# 1
The following is a DFT calculation (PBE) of a relaxed structure of CsK6S.

Output
ΔE_f (raw) in eV per atom: -0.3414

Geometry as CIF:
```
data_CsK6S
_chemical_formula_sum 'Cs2 K12 S2'
_space_group_name_H-M_alt 'C 1 2/m 1'
_space_group_IT_number 12
_cell_length_a 10.7027
_cell_length_b 12.8893
_cell_length_c 8.3669
_cell_angle_alpha 90.00
_cell_angle_beta 106.28
_cell_angle_gamma 90.00
loop_
_space_group_symop_operation_xyz
'x,y,z'
'-x,-y,-z'
'-x,y,-z'
'x,-y,z'
'x+1/2,y+1/2,z'
'-x+1/2,-y+1/2,-z'
'-x+1/2,y+1/2,-z'
'x+1/2,-y+1/2,z'
loop_
_atom_site_label
_atom_site_type_symbol
_atom_site_fract_x
_atom_site_fract_y
_atom_site_fract_z
_atom_site_occupancy
Cs1 Cs 0.0000 0.0000 0.0000 1
K1 K 0.0841 0.3252 0.7586 1
K2 K 0.2397 0.0000 0.5890 1
S1 S 0.0000 0.5000 0.5000 1
```

---

# 2
The following is a DFT calculation (PBE) of a relaxed structure of CdSi2W.

Output
ΔE_f (raw) in eV per atom: 0.2831

Geometry as CIF:
```
data_CdSi2W
_chemical_formula_sum 'Cd2 Si4 W2'
_space_group_name_H-M_alt 'C 1 2/m 1'
_space_group_IT_number 12
_cell_length_a 8.4726
_cell_length_b 3.1400
_cell_length_c 5.3381
_cell_angle_alpha 90.00
_cell_angle_beta 99.85
_cell_angle_gamma 90.00
loop_
_space_group_symop_operation_xyz
'x,y,z'
'-x,-y,-z'
'-x,y,-z'
'x,-y,z'
'x+1/2,y+1/2,z'
'-x+1/2,-y+1/2,-z'
'-x+1/2,y+1/2,-z'
'x+1/2,-y+1/2,z'
loop_
_atom_site_label
_atom_site_type_symbol
_atom_site_fract_x
_atom_site_fract_y
_atom_site_fract_z
_atom_site_occupancy
Cd1 Cd 0.0000 0.0000 0.0000 1
Si1 Si 0.2310 0.0000 0.6682 1
W1 W 0.0000 0.5000 0.5000 1
```

---

# 3
The following is a DFT calculation (PBE) of a relaxed structure of MgMnCo2.

Output
Formation energy in eV/atom: 0.114

Geometry as CIF:
```
data_MgMnCo2
_chemical_formula_sum 'Mg2 Mn2 Co4'
_space_group_name_H-M_alt 'C 1 m 1'
_space_group_IT_number 8
_cell_length_a 9.4981
_cell_length_b 2.9000
_cell_length_c 4.2132
_cell_angle_alpha 90.00
_cell_angle_beta 115.81
_cell_angle_gamma 90.00
loop_
_space_group_symop_operation_xyz
'x,y,z'
'x,-y,z'
'x+1/2,y+1/2,z'
'x+1/2,-y+1/2,z'
loop_
_atom_site_label
_atom_site_type_symbol
_atom_site_fract_x
_atom_site_fract_y
_atom_site_fract_z
_atom_site_occupancy
Mg1 Mg 0.0000 0.0000 0.0000 1
Mn1 Mn 0.2248 0.0000 0.7226 1
Co1 Co 0.2583 0.5000 0.2565 1
Co2 Co 0.4812 0.0000 0.4815 1
```

---

# 4
The following is a DFT calculation (PBE) of a relaxed structure of LaPrTm2S4.

Output
ΔE_f (raw) in eV per atom: -2.0261

Geometry as CIF:
```
data_LaPrTm2S4
_chemical_formula_sum 'La1 Pr1 Tm2 S4'
_space_group_name_H-M_alt 'P 1 2/m 1'
_space_group_IT_number 10
_cell_length_a 6.7984
_cell_length_b 3.9064
_cell_length_c 7.1182
_cell_angle_alpha 90.00
_cell_angle_beta 108.43
_cell_angle_gamma 90.00
loop_
_space_group_symop_operation_xyz
'x,y,z'
'-x,-y,-z'
'-x,y,-z'
'x,-y,z'
loop_
_atom_site_label
_atom_site_type_symbol
_atom_site_fract_x
_atom_site_fract_y
_atom_site_fract_z
_atom_site_occupancy
La1 La 0.0000 0.0000 0.0000 1
Pr1 Pr 0.5000 0.5000 0.0000 1
Tm1 Tm 0.0000 0.5000 0.5000 1
Tm2 Tm 0.5000 0.0000 0.5000 1
S1 S 0.2415 0.0000 0.7238 1
S2 S 0.2599 0.5000 0.2767 1
```

---

Number 1: Fermi-level density of states 0.65 states/eV/atom. Number 2: Fermi-level density of states 0.53 states/eV/atom. Number 3: Fermi-level density of states 0.95 states/eV/atom. Number 4: Fermi-level density of states 0.44 states/eV/atom.